# Cs2CaNpI6, relaxed, DFT PBE
# Final energy, Ry per atom: -0.282
# DOS(E_F), states/eV/atom: 1.0297
data_Cs2CaNpI6
_symmetry_space_group_name_H-M 'P 1'
_symmetry_Int_Tables_number 1
_cell_length_a 8.882
_cell_length_b 8.851
_cell_length_c 12.544
_cell_angle_alpha 90.00
_cell_angle_beta 90.00
_cell_angle_gamma 90.00
loop_
_symmetry_equiv_pos_as_xyz
'x,y,z'
loop_
_atom_site_label
_atom_site_fract_x
_atom_site_fract_y
_atom_site_fract_z
_atom_site_occupancy
Cs1 0.500 0.750 0.251 1
Cs2 0.000 0.250 0.751 1
Cs3 0.500 0.750 0.749 1
Cs4 0.000 0.250 0.249 1
Ca1 0.500 0.250 0.500 1
Ca2 0.000 0.750 0.000 1
Np1 0.000 0.750 0.500 1
Np2 0.500 0.250 0.000 1
I1 0.500 0.250 0.252 1
I2 0.500 0.250 0.748 1
I3 0.000 0.750 0.248 1
I4 0.000 0.750 0.752 1
I5 0.252 0.003 0.500 1
I6 0.748 0.003 0.500 1
I7 0.253 0.498 0.500 1
I8 0.747 0.498 0.500 1
I9 0.753 0.502 0.000 1
I10 0.247 0.502 0.000 1
I11 0.248 0.997 0.000 1
I12 0.752 0.997 0.000 1


# Cs2Ca2IO6, relaxed, DFT PBE
# Final energy, Ry per atom: -0.368
# DOS(E_F), states/eV/atom: 0.2364
data_Cs2Ca2IO6
_symmetry_space_group_name_H-M 'P 1'
_symmetry_Int_Tables_number 1
_cell_length_a 5.960
_cell_length_b 5.960
_cell_length_c 7.284
_cell_angle_alpha 98.45
_cell_angle_beta 98.45
_cell_angle_gamma 118.98
loop_
_symmetry_equiv_pos_as_xyz
'x,y,z'
loop_
_atom_site_label
_atom_site_fract_x
_atom_site_fract_y
_atom_site_fract_z
_atom_site_occupancy
Cs1 0.830 0.170 0.000 1
Cs2 0.170 0.830 0.000 1
Ca1 0.335 0.665 0.500 1
Ca2 0.665 0.335 0.500 1
I1 0.000 0.000 0.500 1
O1 0.770 0.770 0.660 1
O2 0.052 0.344 0.659 1
O3 0.230 0.230 0.340 1
O4 0.344 0.052 0.659 1
O5 0.948 0.656 0.341 1
O6 0.656 0.948 0.341 1